[1]
# PBE PuPa2S6, optimized geometry
data_PuPa2S6
_chemical_formula_sum 'Pu2 Pa4 S12'
_cell_length_a 14.557
_cell_length_b 4.086
_cell_length_c 9.783
_cell_angle_alpha 90.00
_cell_angle_beta 105.02
_cell_angle_gamma 90.00
_symmetry_space_group_name_H-M 'C 1 2/m 1'
_symmetry_Int_Tables_number 12
_symmetry_space_group_name_Hall '-C 2y'
loop_
_atom_site_label
_atom_site_fract_x
_atom_site_fract_y
_atom_site_fract_z
Pu1 0.000 0.000 0.000
Pa1 0.162 0.500 0.331
S1 0.039 0.000 0.297
S2 0.131 0.500 0.058
S3 0.209 0.500 0.621
# excess energy over the best structure of this formula in the dataset = 0.0000 eV per atom
# total magnetization = 6.06 μB/f.u.
# density of states at the Fermi level = 28.5 states/eV/cell
# DFT total energy = -144.56 eV per cell

***

[2]
# PBE PuPaS2, optimized geometry
data_PuPaS2
_chemical_formula_sum 'Pu3 Pa3 S6'
_cell_length_a 3.8786
_cell_length_b 3.8786
_cell_length_c 19.4775
_cell_angle_alpha 90.00
_cell_angle_beta 90.00
_cell_angle_gamma 120.00
_symmetry_space_group_name_H-M 'R -3 m'
_symmetry_Int_Tables_number 166
_symmetry_space_group_name_Hall '-R 3 2"'
loop_
_atom_site_label
_atom_site_fract_x
_atom_site_fract_y
_atom_site_fract_z
Pu1 0.0000 0.0000 0.0000
Pa1 0.0000 0.0000 0.5000
S1 0.0000 0.0000 0.2512
# excess energy over the best structure of this formula in the dataset = 0.0000 eV per atom
# total magnetization = 4.92 μB/f.u.
# density of states at the Fermi level = 23.6 states/eV/cell
# DFT total energy = -116.40 eV per cell

***

[3]
# PBE Pu6PaS8, optimized geometry
data_Pu6PaS8
_chemical_formula_sum 'Pu24 Pa4 S32'
_cell_length_a 11.207
_cell_length_b 11.207
_cell_length_c 11.207
_cell_angle_alpha 90.00
_cell_angle_beta 90.00
_cell_angle_gamma 90.00
_symmetry_space_group_name_H-M 'F m -3 m'
_symmetry_Int_Tables_number 225
_symmetry_space_group_name_Hall '-F 4 2 3'
loop_
_atom_site_label
_atom_site_fract_x
_atom_site_fract_y
_atom_site_fract_z
Pu1 0.000 0.250 0.250
Pa1 0.000 0.000 0.000
S1 0.000 0.000 0.246
S2 0.250 0.250 0.250
# total magnetization = 34.75 μB/f.u.
# density of states at the Fermi level = 227.0 states/eV/cell
# DFT total energy = -617.16 eV per cell

***

[4]
# PBE PuPa2S3, optimized geometry
data_PuPa2S3
_chemical_formula_sum 'Pu2 Pa4 S6'
_cell_length_a 3.907
_cell_length_b 3.907
_cell_length_c 16.591
_cell_angle_alpha 90.00
_cell_angle_beta 90.00
_cell_angle_gamma 90.00
_symmetry_space_group_name_H-M 'I 4/m m m'
_symmetry_Int_Tables_number 139
_symmetry_space_group_name_Hall '-I 4 2'
loop_
_atom_site_label
_atom_site_fract_x
_atom_site_fract_y
_atom_site_fract_z
Pu1 0.000 0.000 0.000
Pa1 0.000 0.000 0.332
S1 0.000 0.000 0.165
S2 0.000 0.000 0.500
# total magnetization = 6.20 μB/f.u.
# density of states at the Fermi level = 26.8 states/eV/cell
# DFT total energy = -111.27 eV per cell

***

[5]
# PBE Pu3PaS4, optimized geometry
data_Pu3PaS4
_chemical_formula_sum 'Pu6 Pa2 S8'
_cell_length_a 7.887
_cell_length_b 11.120
_cell_length_c 3.911
_cell_angle_alpha 90.00
_cell_angle_beta 90.00
_cell_angle_gamma 90.00
_symmetry_space_group_name_H-M 'C m m m'
_symmetry_Int_Tables_number 65
_symmetry_space_group_name_Hall '-C 2 2'
loop_
_atom_site_label
_atom_site_fract_x
_atom_site_fract_y
_atom_site_fract_z
Pu1 0.000 0.000 0.000
Pu2 0.250 0.250 0.500
Pa1 0.000 0.500 0.000
S1 0.000 0.250 0.000
S2 0.249 0.000 0.500
# excess energy over the best structure of this formula in the dataset = 0.0000 eV per atom
# total magnetization = 16.54 μB/f.u.
# density of states at the Fermi level = 50.2 states/eV/cell
# DFT total energy = -165.29 eV per cell

***

[6]
# PBE Pu3Pa4S8, optimized geometry
data_Pu3Pa4S8
_chemical_formula_sum 'Pu6 Pa8 S16'
_cell_length_a 11.012
_cell_length_b 11.035
_cell_length_c 7.790
_cell_angle_alpha 90.00
_cell_angle_beta 134.92
_cell_angle_gamma 90.00
_symmetry_space_group_name_H-M 'C 1 2/m 1'
_symmetry_Int_Tables_number 12
_symmetry_space_group_name_Hall '-C 2y'
loop_
_atom_site_label
_atom_site_fract_x
_atom_site_fract_y
_atom_site_fract_z
Pu1 0.000 0.000 0.000
Pu2 0.250 0.250 0.000
Pa1 0.000 0.000 0.500
Pa2 0.000 0.500 0.000
Pa3 0.250 0.250 0.500
S1 0.000 0.250 0.000
S2 0.000 0.254 0.500
S3 0.244 0.500 0.500
S4 0.246 0.500 0.996
# total magnetization = 5.41 μB/f.u.
# density of states at the Fermi level = 64.6 states/eV/cell
# DFT total energy = -277.77 eV per cell

***

[7]
# PBE Pu4Pa3S8, optimized geometry
data_Pu4Pa3S8
_chemical_formula_sum 'Pu8 Pa6 S16'
_cell_length_a 11.009
_cell_length_b 11.058
_cell_length_c 7.795
_cell_angle_alpha 90.00
_cell_angle_beta 134.81
_cell_angle_gamma 90.00
_symmetry_space_group_name_H-M 'C 1 2/m 1'
_symmetry_Int_Tables_number 12
_symmetry_space_group_name_Hall '-C 2y'
loop_
_atom_site_label
_atom_site_fract_x
_atom_site_fract_y
_atom_site_fract_z
Pu1 0.000 0.000 0.000
Pu2 0.000 0.000 0.500
Pu3 0.250 0.250 0.000
Pa1 0.000 0.500 0.000
Pa2 0.250 0.250 0.500
S1 0.000 0.250 0.000
S2 0.000 0.254 0.500
S3 0.245 0.500 0.500
S4 0.245 0.500 0.995
# total magnetization = 0.68 μB/f.u.
# density of states at the Fermi level = 68.2 states/eV/cell
# DFT total energy = -288.06 eV per cell

***

[8]
# PBE PuPaS, optimized geometry
data_PuPaS
_chemical_formula_sum 'Pu1 Pa1 S1'
_cell_length_a 3.6644
_cell_length_b 3.6644
_cell_length_c 5.1944
_cell_angle_alpha 90.00
_cell_angle_beta 90.00
_cell_angle_gamma 120.00
_symmetry_space_group_name_H-M 'P 3 m 1'
_symmetry_Int_Tables_number 156
_symmetry_space_group_name_Hall 'P 3 -2"'
loop_
_atom_site_label
_atom_site_fract_x
_atom_site_fract_y
_atom_site_fract_z
Pu1 0.0000 0.0000 0.0000
Pa1 0.6667 0.3333 0.2970
S1 0.3333 0.6667 0.6558
# excess energy over the best structure of this formula in the dataset = 0.0499 eV per atom
# total magnetization = 4.19 μB/f.u.
# density of states at the Fermi level = 4.7 states/eV/cell
# DFT total energy = -30.54 eV per cell

***

[9]
# PBE Pu2PaS5, optimized geometry
data_Pu2PaS5
_chemical_formula_sum 'Pu8 Pa4 S20'
_cell_length_a 11.548
_cell_length_b 8.039
_cell_length_c 7.369
_cell_angle_alpha 90.00
_cell_angle_beta 90.00
_cell_angle_gamma 90.00
_symmetry_space_group_name_H-M 'P n m a'
_symmetry_Int_Tables_number 62
_symmetry_space_group_name_Hall '-P 2ac 2n'
loop_
_atom_site_label
_atom_site_fract_x
_atom_site_fract_y
_atom_site_fract_z
Pu1 0.176 0.003 0.028
Pa1 0.011 0.250 0.578
S1 0.000 0.250 0.958
S2 0.092 0.547 0.669
S3 0.190 0.250 0.337
S4 0.217 0.750 0.306
# total magnetization = 11.00 μB/f.u.
# density of states at the Fermi level = 71.5 states/eV/cell
# DFT total energy = -290.48 eV per cell

***

[10]
# PBE Pu3PaS7, optimized geometry
data_Pu3PaS7
_chemical_formula_sum 'Pu12 Pa4 S28'
_cell_length_a 9.027
_cell_length_b 13.091
_cell_length_c 9.362
_cell_angle_alpha 90.00
_cell_angle_beta 90.00
_cell_angle_gamma 90.00
_symmetry_space_group_name_H-M 'C m c m'
_symmetry_Int_Tables_number 63
_symmetry_space_group_name_Hall '-C 2c 2'
loop_
_atom_site_label
_atom_site_fract_x
_atom_site_fract_y
_atom_site_fract_z
Pu1 0.000 0.000 0.000
Pu2 0.230 0.270 0.250
Pa1 0.000 0.500 0.000
S1 0.000 0.128 0.750
S2 0.000 0.136 0.250
S3 0.000 0.411 0.250
S4 0.222 0.372 0.530
# total magnetization = 4.94 μB/f.u.
# density of states at the Fermi level = 132.3 states/eV/cell
# DFT total energy = -394.27 eV per cell

***

[11]
# PBE PuPa2S6, optimized geometry
data_PuPa2S6
_chemical_formula_sum 'Pu2 Pa4 S12'
_cell_length_a 13.658
_cell_length_b 5.135
_cell_length_c 8.898
_cell_angle_alpha 90.00
_cell_angle_beta 126.87
_cell_angle_gamma 90.00
_symmetry_space_group_name_H-M 'C 1 2/m 1'
_symmetry_Int_Tables_number 12
_symmetry_space_group_name_Hall '-C 2y'
loop_
_atom_site_label
_atom_site_fract_x
_atom_site_fract_y
_atom_site_fract_z
Pu1 0.000 0.000 0.000
Pa1 0.183 0.000 0.612
S1 0.037 0.000 0.718
S2 0.128 0.500 0.053
S3 0.245 0.500 0.624
# excess energy over the best structure of this formula in the dataset = 0.0584 eV per atom
# total magnetization = 6.05 μB/f.u.
# density of states at the Fermi level = 26.3 states/eV/cell
# DFT total energy = -143.51 eV per cell

***

[12]
# PBE Pu6PaS12, optimized geometry
data_Pu6PaS12
_chemical_formula_sum 'Pu18 Pa3 S36'
_cell_length_a 12.0162
_cell_length_b 12.0162
_cell_length_c 11.2349
_cell_angle_alpha 90.00
_cell_angle_beta 90.00
_cell_angle_gamma 120.00
_symmetry_space_group_name_H-M 'R -3'
_symmetry_Int_Tables_number 148
_symmetry_space_group_name_Hall '-R 3'
loop_
_atom_site_label
_atom_site_fract_x
_atom_site_fract_y
_atom_site_fract_z
Pu1 0.0446 0.7810 0.1422
Pa1 0.0000 0.0000 0.5000
S1 0.0326 0.8144 0.8958
S2 0.0484 0.8393 0.3836
# total magnetization = 29.00 μB/f.u.
# density of states at the Fermi level = 141.4 states/eV/cell
# DFT total energy = -527.93 eV per cell